A geometry-optimized YHoCdIn structure, computed with PBE-GGA.

The structure in CIF format:
```
data_YHoCdIn
_space_group_name_H-M_alt 'P 1'
_space_group_IT_number 1
_cell_length_a 5.294
_cell_length_b 5.294
_cell_length_c 5.294
_cell_angle_alpha 60.00
_cell_angle_beta 60.00
_cell_angle_gamma 60.00
loop_
_space_group_symop_operation_xyz
'x,y,z'
loop_
_atom_site_label
_atom_site_type_symbol
_atom_site_fract_x
_atom_site_fract_y
_atom_site_fract_z
In1 In 0.500 0.500 0.500
Y1 Y 0.750 0.750 0.750
Ho1 Ho 0.250 0.250 0.250
Cd1 Cd 0.000 0.000 0.000
```

Summary:
DFT formation energy: -163 kJ/mol of formula units
crystal system: cubic
E: -16.38 eV per cell
symmetry: F-43m, No. 216